Entry 1:
A plane-wave DFT calculation with GGA-PBE was carried out for a relaxed structure of MgZr8. Values from VASP.

Calculated values
Fermi-level density of states (states/eV per atom): 1.28
ΔE_f (eV per atom): 0.031
Uncorrected energy (eV per formula unit): -69.70

Structure (Quantum ESPRESSO input):
```
&SYSTEM
  ibrav = 0, nat = 9, ntyp = 2
/
ATOMIC_SPECIES
Mg 24.30 Mg.upf
Zr 91.22 Zr.upf
ATOMIC_POSITIONS angstrom
Mg 0.000 0.000 0.000
Zr 2.207 2.016 1.331
Zr 4.394 4.014 2.650
Zr 2.857 4.806 0.010
Zr 5.018 6.826 1.327
Zr 7.251 8.866 2.674
Zr 5.044 2.412 0.010
Zr 7.251 4.382 1.327
Zr 9.484 6.422 2.674
CELL_PARAMETERS angstrom
7.251 -0.003 0.010
0.651 7.222 0.010
6.600 6.029 3.980
```

Entry 2:
A plane-wave DFT calculation with GGA-PBE was carried out for a relaxed structure of MgZr. Values from VASP.

Calculated values
Fermi-level density of states (states/eV per atom): 0.99
ΔE_f (eV per atom): 0.061
Uncorrected energy (eV per formula unit): -10.02

Structure (Quantum ESPRESSO input):
```
&SYSTEM
  ibrav = 0, nat = 4, ntyp = 2
/
ATOMIC_SPECIES
Mg 24.30 Mg.upf
Zr 91.22 Zr.upf
ATOMIC_POSITIONS angstrom
Mg 4.790 -0.276 0.690
Mg 0.397 1.687 2.069
Zr 3.106 2.368 0.690
Zr 2.081 -0.957 2.069
CELL_PARAMETERS angstrom
6.042 0.003 0.000
2.789 5.360 0.000
-3.645 -3.951 2.759
```

Entry 3:
A plane-wave DFT calculation with GGA-PBE was carried out for a relaxed structure of MgZr. Values from VASP.

Calculated values
Fermi-level density of states (states/eV per atom): 0.86
ΔE_f (eV per atom): 0.040
Uncorrected energy (eV per formula unit): -10.06

Structure (Quantum ESPRESSO input):
```
&SYSTEM
  ibrav = 0, nat = 4, ntyp = 2
/
ATOMIC_SPECIES
Mg 24.30 Mg.upf
Zr 91.22 Zr.upf
ATOMIC_POSITIONS angstrom
Mg 0.884 -2.640 1.551
Mg 3.210 6.282 -1.066
Zr 1.083 2.846 0.880
Zr -1.311 -6.144 3.626
CELL_PARAMETERS angstrom
-4.321 -6.941 4.022
3.926 -1.825 1.070
5.371 9.760 -3.066
```

Entry 4:
A plane-wave DFT calculation with GGA-PBE was carried out for a relaxed structure of Mg2Zr. Values from VASP.

Calculated values
Fermi-level density of states (states/eV per atom): 0.48
ΔE_f (eV per atom): 0.402
Uncorrected energy (eV per formula unit): -10.53

Structure (Quantum ESPRESSO input):
```
&SYSTEM
  ibrav = 0, nat = 9, ntyp = 2
/
ATOMIC_SPECIES
Mg 24.30 Mg.upf
Zr 91.22 Zr.upf
ATOMIC_POSITIONS angstrom
Mg 0.789 1.366 0.000
Mg 1.814 3.142 2.493
Mg 0.789 -1.366 0.000
Mg 5.398 0.000 0.000
Mg 1.814 -3.142 2.493
Mg 3.347 0.000 2.493
Zr 0.000 0.000 2.493
Zr 3.487 2.013 0.000
Zr 3.487 -2.013 0.000
CELL_PARAMETERS angstrom
3.487 -6.040 0.000
3.487 6.040 0.000
0.000 0.000 4.986
```

Entry 5:
A plane-wave DFT calculation with GGA-PBE was carried out for a relaxed structure of MgZr. Values from VASP.

Calculated values
Fermi-level density of states (states/eV per atom): 1.04
ΔE_f (eV per atom): 0.394
Uncorrected energy (eV per formula unit): -9.35

Structure (Quantum ESPRESSO input):
```
&SYSTEM
  ibrav = 0, nat = 32, ntyp = 2
/
ATOMIC_SPECIES
Mg 24.30 Mg.upf
Zr 91.22 Zr.upf
ATOMIC_POSITIONS angstrom
Mg -1.283 0.467 -0.167
Mg -6.277 2.286 -0.818
Mg -2.790 -4.030 4.795
Mg -5.356 -3.095 4.461
Mg -2.658 -0.921 6.505
Mg -7.651 0.898 5.854
Mg -1.173 1.696 8.390
Mg -3.739 2.631 8.056
Mg -4.942 4.013 4.474
Mg -2.375 3.078 4.808
Mg -6.449 -0.484 9.436
Mg -9.015 0.451 9.102
Mg -6.559 -1.713 0.879
Mg -3.993 -2.647 1.213
Mg -5.074 0.904 2.764
Mg -7.640 1.839 2.430
Zr -1.998 -4.751 2.054
Zr -0.994 -2.363 1.022
Zr -2.075 1.189 2.573
Zr -3.080 -1.200 3.606
Zr -0.381 0.975 5.650
Zr -2.368 -3.751 7.693
Zr -3.450 -0.199 9.245
Zr -4.454 -2.588 10.278
Zr -5.657 -1.206 6.696
Zr -4.652 1.183 5.663
Zr -5.734 4.734 7.215
Zr -6.738 2.346 8.247
Zr -4.282 0.183 0.024
Zr -6.270 -4.543 2.067
Zr -7.351 -0.991 3.619
Zr -8.355 -3.380 4.652
CELL_PARAMETERS angstrom
-7.560 2.754 -0.985
-2.992 -7.114 3.076
0.243 4.338 10.267
```

Entry 6:
A plane-wave DFT calculation with GGA-PBE was carried out for a relaxed structure of MgZr2. Values from VASP.

Calculated values
Fermi-level density of states (states/eV per atom): 1.14
ΔE_f (eV per atom): 0.680
Uncorrected energy (eV per formula unit): -16.65

Structure (Quantum ESPRESSO input):
```
&SYSTEM
  ibrav = 0, nat = 3, ntyp = 2
/
ATOMIC_SPECIES
Mg 24.30 Mg.upf
Zr 91.22 Zr.upf
ATOMIC_POSITIONS angstrom
Mg 0.000 0.000 0.000
Zr 0.000 2.427 1.604
Zr 2.427 0.000 1.604
CELL_PARAMETERS angstrom
4.855 0.000 0.000
0.000 4.855 0.000
0.000 0.000 3.207
```

Entry 7:
A plane-wave DFT calculation with GGA-PBE was carried out for a relaxed structure of Mg7Zr. Values from VASP.

Calculated values
Fermi-level density of states (states/eV per atom): 0.58
ΔE_f (eV per atom): 0.006
Uncorrected energy (eV per formula unit): -19.67

Structure (Quantum ESPRESSO input):
```
&SYSTEM
  ibrav = 0, nat = 8, ntyp = 2
/
ATOMIC_SPECIES
Mg 24.30 Mg.upf
Zr 91.22 Zr.upf
ATOMIC_POSITIONS angstrom
Mg -4.544 1.329 -5.141
Mg -1.521 0.653 -5.260
Mg -1.202 1.817 -2.250
Mg 1.856 1.146 -2.339
Mg -3.542 -1.636 -5.799
Mg -3.223 -0.471 -2.788
Mg -0.200 -1.147 -2.907
Zr 0.000 0.000 0.000
CELL_PARAMETERS angstrom
0.854 4.111 -1.681
2.858 -1.819 -2.996
-8.455 -2.110 -3.371
```

Entry 8:
A plane-wave DFT calculation with GGA-PBE was carried out for a relaxed structure of MgZr3. Values from VASP.

Calculated values
Fermi-level density of states (states/eV per atom): 1.43
ΔE_f (eV per atom): 0.077
Uncorrected energy (eV per formula unit): -26.93

Structure (Quantum ESPRESSO input):
```
&SYSTEM
  ibrav = 0, nat = 4, ntyp = 2
/
ATOMIC_SPECIES
Mg 24.30 Mg.upf
Zr 91.22 Zr.upf
ATOMIC_POSITIONS angstrom
Mg -1.715 -2.737 -0.562
Zr 0.000 0.000 0.000
Zr -0.437 -2.159 2.286
Zr -3.144 0.095 -0.431
CELL_PARAMETERS angstrom
-4.422 -0.483 -3.279
0.992 -4.991 2.155
-1.866 0.673 2.417
```

Entry 9:
A plane-wave DFT calculation with GGA-PBE was carried out for a relaxed structure of MgZr3. Values from VASP.

Calculated values
Fermi-level density of states (states/eV per atom): 1.28
ΔE_f (eV per atom): 0.089
Uncorrected energy (eV per formula unit): -26.88

Structure (Quantum ESPRESSO input):
```
&SYSTEM
  ibrav = 0, nat = 8, ntyp = 2
/
ATOMIC_SPECIES
Mg 24.30 Mg.upf
Zr 91.22 Zr.upf
ATOMIC_POSITIONS angstrom
Mg 0.000 0.000 0.000
Mg -4.598 -1.674 0.335
Zr -2.357 -0.293 2.094
Zr -3.087 -2.932 2.817
Zr -1.669 -2.669 -0.337
Zr -2.872 0.451 -1.254
Zr -4.863 1.478 0.478
Zr -3.545 -2.731 -2.457
CELL_PARAMETERS angstrom
-3.752 -0.123 -4.240
-1.461 -5.277 1.446
-3.983 2.052 3.464
```

Entry 10:
A plane-wave DFT calculation with GGA-PBE was carried out for a relaxed structure of MgZr5. Values from VASP.

Calculated values
Fermi-level density of states (states/eV per atom): 1.59
ΔE_f (eV per atom): 0.450
Uncorrected energy (eV per formula unit): -41.64

Structure (Quantum ESPRESSO input):
```
&SYSTEM
  ibrav = 0, nat = 6, ntyp = 2
/
ATOMIC_SPECIES
Mg 24.30 Mg.upf
Zr 91.22 Zr.upf
ATOMIC_POSITIONS angstrom
Mg 0.000 0.000 0.000
Zr 1.510 2.615 2.415
Zr 3.020 1.743 0.000
Zr 1.510 -2.615 2.415
Zr 3.020 0.000 2.415
Zr 3.020 -1.743 0.000
CELL_PARAMETERS angstrom
3.020 -5.230 0.000
3.020 5.230 0.000
0.000 0.000 4.830
```

Entry 11:
A plane-wave DFT calculation with GGA-PBE was carried out for a relaxed structure of Mg5Zr3. Values from VASP.

Calculated values
Fermi-level density of states (states/eV per atom): 0.76
ΔE_f (eV per atom): 0.255
Uncorrected energy (eV per formula unit): -31.58

Structure (Quantum ESPRESSO input):
```
&SYSTEM
  ibrav = 0, nat = 16, ntyp = 2
/
ATOMIC_SPECIES
Mg 24.30 Mg.upf
Zr 91.22 Zr.upf
ATOMIC_POSITIONS angstrom
Mg -0.702 0.464 2.279
Mg -6.495 6.033 1.460
Mg -0.576 2.275 -0.626
Mg -0.953 3.897 2.389
Mg -4.337 -0.401 2.534
Mg -3.691 1.916 4.006
Mg -4.152 2.264 -1.740
Mg -3.506 4.581 -0.268
Mg -6.621 4.221 4.365
Mg -6.244 2.599 1.350
Zr -4.887 7.123 -0.961
Zr -2.309 -0.626 4.699
Zr -5.211 2.469 6.503
Zr -3.226 1.937 1.068
Zr -1.986 4.028 -2.765
Zr -3.971 4.559 2.671
CELL_PARAMETERS angstrom
-3.967 4.929 -6.015
-4.522 -3.067 6.808
1.292 4.634 2.945
```

Entry 12:
A plane-wave DFT calculation with GGA-PBE was carried out for a relaxed structure of MgZr3. Values from VASP.

Calculated values
Fermi-level density of states (states/eV per atom): 1.36
ΔE_f (eV per atom): 0.097
Uncorrected energy (eV per formula unit): -26.85

Structure (Quantum ESPRESSO input):
```
&SYSTEM
  ibrav = 0, nat = 4, ntyp = 2
/
ATOMIC_SPECIES
Mg 24.30 Mg.upf
Zr 91.22 Zr.upf
ATOMIC_POSITIONS angstrom
Mg 1.707 2.636 -0.009
Zr -1.665 0.000 2.515
Zr 3.513 0.000 0.013
Zr 5.120 2.636 -0.028
CELL_PARAMETERS angstrom
6.826 0.000 -0.037
0.000 5.272 0.000
-8.391 0.000 2.583
```

Entry 13:
A plane-wave DFT calculation with GGA-PBE was carried out for a relaxed structure of Mg2Zr. Values from VASP.

Calculated values
Fermi-level density of states (states/eV per atom): 0.94
ΔE_f (eV per atom): 0.792
Uncorrected energy (eV per formula unit): -9.36

Structure (Quantum ESPRESSO input):
```
&SYSTEM
  ibrav = 0, nat = 3, ntyp = 2
/
ATOMIC_SPECIES
Mg 24.30 Mg.upf
Zr 91.22 Zr.upf
ATOMIC_POSITIONS angstrom
Mg 7.360 4.249 3.005
Mg 2.453 1.416 1.002
Zr 0.000 0.000 0.000
CELL_PARAMETERS angstrom
4.907 0.000 0.000
2.453 4.249 0.000
2.453 1.416 4.006
```

Entry 14:
A plane-wave DFT calculation with GGA-PBE was carried out for a relaxed structure of MgZr. Values from VASP.

Calculated values
Fermi-level density of states (states/eV per atom): 1.30
ΔE_f (eV per atom): 0.201
Uncorrected energy (eV per formula unit): -9.74

Structure (Quantum ESPRESSO input):
```
&SYSTEM
  ibrav = 0, nat = 16, ntyp = 2
/
ATOMIC_SPECIES
Mg 24.30 Mg.upf
Zr 91.22 Zr.upf
ATOMIC_POSITIONS angstrom
Mg 1.706 5.318 0.000
Mg 8.930 5.318 0.000
Mg 5.318 8.930 0.000
Mg 5.318 1.706 0.000
Mg 7.024 0.000 1.644
Mg 3.612 0.000 1.644
Mg 0.000 3.612 1.644
Mg 0.000 7.024 1.644
Zr 8.920 8.920 0.000
Zr 8.920 1.716 0.000
Zr 1.716 8.920 0.000
Zr 1.716 1.716 0.000
Zr 3.602 3.602 1.644
Zr 3.602 7.034 1.644
Zr 7.034 3.602 1.644
Zr 7.034 7.034 1.644
CELL_PARAMETERS angstrom
10.636 0.000 0.000
0.000 10.636 0.000
0.000 0.000 3.288
```

Entry 15:
A plane-wave DFT calculation with GGA-PBE was carried out for a relaxed structure of Mg4Zr3. Values from VASP.

Calculated values
Fermi-level density of states (states/eV per atom): 0.82
ΔE_f (eV per atom): -0.013
Uncorrected energy (eV per formula unit): -32.11

Structure (Quantum ESPRESSO input):
```
&SYSTEM
  ibrav = 0, nat = 7, ntyp = 2
/
ATOMIC_SPECIES
Mg 24.30 Mg.upf
Zr 91.22 Zr.upf
ATOMIC_POSITIONS angstrom
Mg 4.418 0.624 0.000
Mg 13.557 1.915 0.000
Mg 17.956 2.537 0.000
Mg 27.096 3.828 0.000
Zr 0.000 0.000 0.000
Zr 8.994 1.271 0.000
Zr 22.519 3.181 0.000
CELL_PARAMETERS angstrom
16.069 0.018 0.000
15.445 4.434 0.000
-15.757 -2.226 2.230
```

Entry 16:
A plane-wave DFT calculation with GGA-PBE was carried out for a relaxed structure of MgZr. Values from VASP.

Calculated values
Fermi-level density of states (states/eV per atom): 0.66
ΔE_f (eV per atom): 0.020
Uncorrected energy (eV per formula unit): -10.10

Structure (Quantum ESPRESSO input):
```
&SYSTEM
  ibrav = 0, nat = 4, ntyp = 2
/
ATOMIC_SPECIES
Mg 24.30 Mg.upf
Zr 91.22 Zr.upf
ATOMIC_POSITIONS angstrom
Mg 0.756 4.761 1.978
Mg 2.690 6.545 3.783
Zr 0.007 0.047 0.019
Zr 1.928 1.744 1.788
CELL_PARAMETERS angstrom
-1.683 -0.818 2.613
3.178 -0.472 -0.078
1.510 9.515 3.954
```

Entry 17:
A plane-wave DFT calculation with GGA-PBE was carried out for a relaxed structure of Mg3Zr4. Values from VASP.

Calculated values
Fermi-level density of states (states/eV per atom): 1.32
ΔE_f (eV per atom): 0.101
Uncorrected energy (eV per formula unit): -38.27

Structure (Quantum ESPRESSO input):
```
&SYSTEM
  ibrav = 0, nat = 7, ntyp = 2
/
ATOMIC_SPECIES
Mg 24.30 Mg.upf
Zr 91.22 Zr.upf
ATOMIC_POSITIONS angstrom
Mg -2.389 -0.291 1.450
Mg -2.212 1.627 -0.595
Mg 0.177 1.918 -2.045
Zr 0.496 1.051 1.028
Zr 1.332 2.820 2.759
Zr -0.442 4.298 0.133
Zr -2.153 2.826 2.464
CELL_PARAMETERS angstrom
0.354 3.836 -4.091
-4.777 -0.581 2.900
1.828 3.870 3.787
```

Entry 18:
A plane-wave DFT calculation with GGA-PBE was carried out for a relaxed structure of MgZr3. Values from VASP.

Calculated values
Fermi-level density of states (states/eV per atom): 1.66
ΔE_f (eV per atom): 0.022
Uncorrected energy (eV per formula unit): -27.15

Structure (Quantum ESPRESSO input):
```
&SYSTEM
  ibrav = 0, nat = 4, ntyp = 2
/
ATOMIC_SPECIES
Mg 24.30 Mg.upf
Zr 91.22 Zr.upf
ATOMIC_POSITIONS angstrom
Mg 2.239 2.239 0.000
Zr 0.000 0.000 0.000
Zr 0.000 2.239 2.239
Zr 2.239 0.000 2.239
CELL_PARAMETERS angstrom
4.478 0.000 0.000
0.000 4.478 0.000
0.000 0.000 4.478
```

Entry 19:
A plane-wave DFT calculation with GGA-PBE was carried out for a relaxed structure of MgZr. Values from VASP.

Calculated values
Fermi-level density of states (states/eV per atom): 1.02
ΔE_f (eV per atom): 0.732
Uncorrected energy (eV per formula unit): -8.68

Structure (Quantum ESPRESSO input):
```
&SYSTEM
  ibrav = 0, nat = 2, ntyp = 2
/
ATOMIC_SPECIES
Mg 24.30 Mg.upf
Zr 91.22 Zr.upf
ATOMIC_POSITIONS angstrom
Mg 4.080 2.356 1.666
Zr 0.000 0.000 0.000
CELL_PARAMETERS angstrom
4.080 0.000 0.000
2.040 3.534 0.000
2.040 1.178 3.332
```

Entry 20:
A plane-wave DFT calculation with GGA-PBE was carried out for a relaxed structure of Mg2Zr7. Values from VASP.

Calculated values
Fermi-level density of states (states/eV per atom): 1.41
ΔE_f (eV per atom): 0.092
Uncorrected energy (eV per formula unit): -62.20

Structure (Quantum ESPRESSO input):
```
&SYSTEM
  ibrav = 0, nat = 9, ntyp = 2
/
ATOMIC_SPECIES
Mg 24.30 Mg.upf
Zr 91.22 Zr.upf
ATOMIC_POSITIONS angstrom
Mg 0.000 3.212 0.000
Mg 2.782 1.606 0.000
Zr 0.000 0.000 0.000
Zr 3.711 0.000 2.613
Zr -1.855 3.213 2.613
Zr 0.926 1.605 2.613
Zr -0.926 1.605 5.154
Zr 1.853 0.000 5.154
Zr 1.855 3.213 5.154
CELL_PARAMETERS angstrom
5.564 0.000 0.000
-2.782 4.818 0.000
0.000 0.000 7.767
```